DFT (PBE) results for a relaxed KSiAs2 crystal.

Computed properties:
**Mass density**: 4.1 Mg/m³
**Calculated total energy**: -3.48 eV per atom
**V**: 88.1 Å³ per cell
**E_form (uncorrected)**: 0.477 eV per atom

Cell lengths 5.451, 5.451, 5.451 Å; angles 131.84, 131.84, 70.48 degrees
Fractional positions:
1 As 0.000 0.000 0.000
2 As 0.250 0.750 0.500
3 Si 0.750 0.250 0.500
4 K 0.500 0.500 0.000

DFT (PBE) results for a relaxed KSi2As crystal.

Computed properties:
**Mass density**: 2.8 Mg/m³
**Calculated total energy**: -3.99 eV per atom
**V**: 100.1 Å³ per cell
**E_form (uncorrected)**: 0.160 eV per atom

Cell lengths 4.722, 4.722, 6.571 Å; angles 79.67, 79.67, 44.16 degrees
Fractional positions:
1 K 0.250 0.250 0.250
2 Si 0.014 0.014 0.881
3 Si 0.486 0.486 0.619
4 As 0.750 0.750 0.750

DFT (PBE) results for a relaxed KSiAs crystal.

Computed properties:
**Mass density**: 2.7 Mg/m³
**Calculated total energy**: -2.77 eV per atom
**V**: 85.9 Å³ per cell
**E_form (uncorrected)**: 0.954 eV per atom

Cell lengths 4.953, 4.953, 4.953 Å; angles 60.00, 60.00, 60.00 degrees
Fractional positions:
1 Si 0.000 0.000 0.000
2 K 0.750 0.750 0.750
3 As 0.500 0.500 0.500